The following is a DFT calculation (PBE) of crystalline NaLaCuGe at its relaxed geometry.

Values from the calculation:
N(E_F), states/eV per cell: 9.006
ΔH_f (0 K), eV/atom: -0.2171

abc: 7.1776 7.1776 7.1776
angles: 90.00 90.00 90.00
Last column: nearest neighbours and their distance in Å.
Space group F-43m (No. 216)
One atom of each set of equivalent atoms:
1 Na 0.0000 0.0000 0.0000 x4  4 Ge 3.11, 4 Cu 3.11
2 La 0.0000 0.0000 0.5000 x4  4 Ge 3.11, 4 Cu 3.11
3 Cu 0.2500 0.2500 0.7500 x4  4 La 3.11, 4 Na 3.11
4 Ge 0.2500 0.2500 0.2500 x4  4 La 3.11, 4 Na 3.11



The following is a DFT calculation (PBE) of crystalline Sm2Y2I7 at its relaxed geometry.

Values from the calculation:
Energy relative to the elements, uncorrected, eV per atom: -0.970
N(E_F), states/eV per cell: 12.756

abc: 9.1748 13.3913 8.2021
angles: 90.00 92.42 90.00
Last column: nearest neighbours and their distance in Å.
Space group C2/m (No. 12)
One atom of each set of equivalent atoms:
1 Sm 0.0000 0.1336 0.0000 x4  6 I 3.21-3.51, 1 Sm 3.58
2 Y 0.2007 0.0000 0.3349 x4  5 I 2.99-3.22
3 I 0.0000 0.5000 0.5000 x2  2 Y 3.01
4 I 0.1320 0.0000 0.7170 x4  2 Y 3.06-3.22, 2 Sm 3.21
5 I 0.2184 0.2962 0.7809 x8  1 Y 2.99, 1 Sm 3.22



The following is a DFT calculation (PBE) of crystalline Co2Os2Rh at its relaxed geometry.

Values from the calculation:
N(E_F), states/eV per cell: 13.217
ΔH_f (0 K), eV/atom: 0.2850

abc: 6.9943 6.9943 2.6698
angles: 90.00 90.00 90.00
Last column: nearest neighbours and their distance in Å.
Space group P4/mbm (No. 127)
One atom of each set of equivalent atoms:
1 Co 0.1199 0.3801 0.0000 x4  1 Co 2.37, 6 Os 2.43-2.49
2 Os 0.1752 0.6752 0.5000 x4  6 Co 2.43-2.49, 2 Os 2.67
3 Rh 0.0000 0.0000 0.0000 x2  2 Rh 2.67, 4 Co 2.79, 8 Os 2.91



The following is a DFT calculation (PBE) of crystalline LiMnCo at its relaxed geometry.

Values from the calculation:
N(E_F), states/eV per cell: 10.669
ΔH_f (0 K), eV/atom: 0.2579

abc: 2.8593 4.1789 12.8041
angles: 90.00 90.00 90.00
Last column: nearest neighbours and their distance in Å.
Space group Fmm2 (No. 42)
One atom of each set of equivalent atoms:
1 Li 0.0000 0.0000 0.0000 x4  4 Li 2.53, 2 Co 2.58, 2 Mn 2.73
2 Mn 0.0000 0.0000 0.6819 x4  2 Co 2.40, 4 Mn 2.53
3 Co 0.0000 0.0000 0.3321 x4  2 Mn 2.40, 4 Co 2.53, 2 Li 2.58



The following is a DFT calculation (PBE) of crystalline LuSbRh2 at its relaxed geometry.

Values from the calculation:
Energy relative to the elements, uncorrected, eV per atom: -0.777
N(E_F), states/eV per cell: 19.095

abc: 6.5809 6.5809 6.5809
angles: 90.00 90.00 90.00
Last column: nearest neighbours and their distance in Å.
Space group Fm-3m (No. 225)
One atom of each set of equivalent atoms:
1 Lu 0.0000 0.0000 0.0000 x4  8 Rh 2.85
2 Sb 0.0000 0.0000 0.5000 x4  8 Rh 2.85
3 Rh 0.2500 0.2500 0.2500 x8  4 Lu 2.85, 4 Sb 2.85



The following is a DFT calculation (PBE) of crystalline SrW2Br at its relaxed geometry.

Values from the calculation:
Energy relative to the elements, uncorrected, eV per atom: 0.858
N(E_F), states/eV per cell: 5.640

abc: 6.9114 10.0176 3.4274
angles: 90.00 119.52 90.00
Last column: nearest neighbours and their distance in Å.
Space group C2 (No. 5)
One atom of each set of equivalent atoms:
1 Sr 0.0000 0.0000 0.0000 x2  2 Br 3.22, 2 Sr 3.43, 6 W 3.45-3.47
2 W 0.0000 0.4987 0.0000 x2  2 W 2.42
3 W 0.0000 0.6695 0.5000 x2  2 W 2.42
4 Br 0.0000 0.2721 0.5000 x2  2 W 2.84